(1)
DFT (PBEsol) results for a relaxed structure of LiOs2Rh.

Cell and atoms, written as POSCAR:
```
LiOs2Rh
1.0
0.000 2.980 2.980
2.980 0.000 2.980
2.980 2.980 0.000
Li Os Rh
1 2 1
direct
0.000 0.000 0.000
0.250 0.250 0.250
0.500 0.500 0.500
0.750 0.750 0.750
```

## Properties
The formation energy from the elements comes out at 0.283 eV/atom. The symmetry is F-43m, No. 216.


(2)
DFT (PBEsol) results for a relaxed structure of LiOs2Rh.

Cell and atoms, written as POSCAR:
```
LiOs2Rh
1.0
0.000 2.972 2.972
2.972 0.000 2.972
2.972 2.972 0.000
Li Os Rh
1 2 1
direct
0.000 0.000 0.000
0.250 0.250 0.250
0.750 0.750 0.750
0.500 0.500 0.500
```

## Properties
The formation energy from the elements comes out at 0.556 eV/atom. The symmetry is Fm-3m, No. 225.


(3)
DFT (PBEsol) results for a relaxed structure of Li2OsRh.

Cell and atoms, written as POSCAR:
```
Li2OsRh
1.0
0.000 2.929 2.929
2.929 0.000 2.929
2.929 2.929 0.000
Li Os Rh
2 1 1
direct
0.000 0.000 0.000
0.250 0.250 0.250
0.750 0.750 0.750
0.500 0.500 0.500
```

## Properties
The formation energy from the elements comes out at 0.173 eV/atom. The symmetry is F-43m, No. 216.


(4)
DFT (PBEsol) results for a relaxed structure of Li2OsRh.

Cell and atoms, written as POSCAR:
```
Li2OsRh
1.0
2.506 0.000 0.000
0.000 2.506 0.000
0.000 0.000 8.505
Li Os Rh
2 1 1
direct
0.000 0.000 0.245
0.000 0.000 0.755
0.500 0.500 0.500
0.500 0.500 0.000
```

## Properties
The formation energy from the elements comes out at 0.236 eV/atom. The symmetry is P4/mmm, No. 123.


(5)
DFT (PBEsol) results for a relaxed structure of LiOs2Rh.

Cell and atoms, written as POSCAR:
```
LiOs2Rh
1.0
2.612 0.000 0.000
0.000 2.612 0.000
0.000 0.000 8.070
Li Os Rh
1 2 1
direct
0.000 0.000 0.000
0.500 0.500 0.258
0.500 0.500 0.742
0.000 0.000 0.500
```

## Properties
The formation energy from the elements comes out at 0.381 eV/atom. The symmetry is P4/mmm, No. 123.


(6)
DFT (PBEsol) results for a relaxed structure of LiOs2Rh.

Cell and atoms, written as POSCAR:
```
LiOs2Rh
1.0
1.346 0.777 8.857
-1.346 0.777 8.857
0.000 -1.555 8.857
Li Os Rh
1 2 1
direct
0.000 0.000 0.000
0.501 0.501 0.501
0.755 0.755 0.755
0.251 0.251 0.251
```

## Properties
The formation energy from the elements comes out at 0.138 eV/atom. The symmetry is R3m, No. 160.


(7)
DFT (PBEsol) results for a relaxed structure of LiOsRu2.

Cell and atoms, written as POSCAR:
```
LiOsRu2
1.0
0.000 2.963 2.963
2.963 0.000 2.963
2.963 2.963 0.000
Li Os Ru
1 1 2
direct
0.000 0.000 0.000
0.500 0.500 0.500
0.250 0.250 0.250
0.750 0.750 0.750
```

## Properties
The formation energy from the elements comes out at 0.281 eV/atom. The symmetry is Fm-3m, No. 225.


(8)
DFT (PBEsol) results for a relaxed structure of LiOs2Ru.

Cell and atoms, written as POSCAR:
```
LiOs2Ru
1.0
3.691 0.000 0.000
0.000 3.691 0.000
0.000 0.000 3.877
Li Os Ru
1 2 1
direct
0.000 0.000 0.000
0.000 0.500 0.500
0.500 0.000 0.500
0.500 0.500 0.000
```

## Properties
The formation energy from the elements comes out at 0.506 eV/atom. The symmetry is P4/mmm, No. 123.


(9)
DFT (PBEsol) results for a relaxed structure of LiOs2Ru.

Cell and atoms, written as POSCAR:
```
LiOs2Ru
1.0
2.647 0.000 0.000
0.000 3.992 0.000
-1.234 0.000 4.925
Li Os Ru
1 2 1
direct
0.000 0.000 0.000
0.406 0.500 0.235
0.594 0.500 0.765
0.000 0.000 0.500
```

## Properties
The formation energy from the elements comes out at 0.318 eV/atom. The symmetry is P2/m, No. 10.


(10)
DFT (PBEsol) results for a relaxed structure of Li2OsRu.

Cell and atoms, written as POSCAR:
```
Li2OsRu
1.0
1.356 -2.167 0.000
1.356 2.167 0.000
0.000 0.000 9.102
Li Os Ru
2 1 1
direct
0.000 0.000 0.249
0.000 0.000 0.751
0.500 0.500 0.500
0.500 0.500 0.000
```

## Properties
The formation energy from the elements comes out at 0.257 eV/atom. The symmetry is Cmmm, No. 65.


(11)
DFT (PBEsol) results for a relaxed structure of LiOs2Ru.

Cell and atoms, written as POSCAR:
```
LiOs2Ru
1.0
1.339 0.773 8.932
-1.339 0.773 8.932
0.000 -1.546 8.932
Li Os Ru
1 2 1
direct
0.000 0.000 0.000
0.246 0.246 0.246
0.754 0.754 0.754
0.500 0.500 0.500
```

## Properties
The formation energy from the elements comes out at 0.219 eV/atom. The symmetry is R-3m, No. 166.


(12)
DFT (PBEsol) results for a relaxed structure of Li2OsRu.

Cell and atoms, written as POSCAR:
```
Li2OsRu
1.0
2.776 0.000 0.000
0.000 2.776 0.000
0.000 0.000 7.367
Li Os Ru
2 1 1
direct
0.000 0.000 0.000
0.500 0.500 0.278
0.000 0.000 0.531
0.500 0.500 0.748
```

## Properties
The formation energy from the elements comes out at 0.229 eV/atom. The symmetry is P4mm, No. 99.


(13)
DFT (PBEsol) results for a relaxed structure of LiOsRu2.

Cell and atoms, written as POSCAR:
```
LiOsRu2
1.0
4.345 0.000 0.000
0.000 4.345 0.000
0.000 0.000 2.789
Li Os Ru
1 1 2
direct
0.000 0.000 0.000
0.500 0.500 0.000
0.000 0.500 0.500
0.500 0.000 0.500
```

## Properties
The formation energy from the elements comes out at 0.370 eV/atom. The symmetry is P4/mmm, No. 123.


(14)
DFT (PBEsol) results for a relaxed structure of Li2OsRu.

Cell and atoms, written as POSCAR:
```
Li2OsRu
1.0
2.558 -4.559 0.000
2.558 4.559 0.000
-1.155 0.000 2.294
Li Os Ru
2 1 1
direct
0.000 0.500 0.000
0.500 0.000 0.000
0.000 0.000 0.500
0.500 0.500 0.500
```

## Properties
The formation energy from the elements comes out at 0.254 eV/atom. The symmetry is C2/m, No. 12.


(15)
DFT (PBEsol) results for a relaxed structure of LiOs2Ru.

Cell and atoms, written as POSCAR:
```
LiOs2Ru
1.0
1.346 0.777 8.909
-1.346 0.777 8.909
0.000 -1.554 8.909
Li Os Ru
1 2 1
direct
0.000 0.000 0.000
0.501 0.501 0.501
0.754 0.754 0.754
0.247 0.247 0.247
```

## Properties
The formation energy from the elements comes out at 0.235 eV/atom. The symmetry is R3m, No. 160.


(16)
DFT (PBEsol) results for a relaxed structure of Li2OsS.

Cell and atoms, written as POSCAR:
```
Li2OsS
1.0
-3.607 3.607 2.197
3.607 -3.607 2.197
3.607 3.607 -2.197
Li Os S
4 2 2
direct
0.072 0.625 0.947
0.375 0.322 0.447
0.678 0.125 0.053
0.875 0.928 0.553
0.250 0.750 0.500
0.500 0.500 0.000
0.000 0.000 0.000
0.750 0.250 0.500
```

## Properties
The symmetry is I-42d, No. 122. Its formation energy without anion corrections is 0.093 eV per atom.


(17)
DFT (PBEsol) results for a relaxed structure of LiSbOs2.

Cell and atoms, written as POSCAR:
```
LiSbOs2
1.0
3.120 0.000 0.000
0.000 3.120 0.000
0.000 0.000 5.979
Li Sb Os
1 1 2
direct
0.000 0.000 0.000
0.500 0.500 0.746
0.000 0.000 0.475
0.500 0.500 0.203
```

## Properties
The symmetry is P4mm, No. 99. Its formation energy without anion corrections is 0.412 eV per atom.


(18)
DFT (PBEsol) results for a relaxed structure of LiSbOs.

Cell and atoms, written as POSCAR:
```
LiSbOs
1.0
3.050 0.000 0.000
-1.525 2.642 0.000
0.000 0.000 6.508
Li Sb Os
1 1 1
direct
0.000 0.000 0.000
0.667 0.333 0.378
0.333 0.667 0.684
```

## Properties
The symmetry is P3m1, No. 156. Its formation energy without anion corrections is 0.406 eV per atom.


(19)
DFT (PBEsol) results for a relaxed structure of LiSbOs2.

Cell and atoms, written as POSCAR:
```
LiSbOs2
1.0
1.445 -2.478 0.000
1.445 2.478 0.000
0.000 0.000 9.284
Li Sb Os
1 1 2
direct
0.000 0.000 0.000
0.500 0.500 0.720
0.000 0.000 0.463
0.500 0.500 0.236
```

## Properties
The symmetry is Cmm2, No. 35. Its formation energy without anion corrections is 0.674 eV per atom.


(20)
DFT (PBEsol) results for a relaxed structure of LiSbOs2.

Cell and atoms, written as POSCAR:
```
LiSbOs2
1.0
0.000 3.103 3.103
3.103 0.000 3.103
3.103 3.103 0.000
Li Sb Os
1 1 2
direct
0.000 0.000 0.000
0.250 0.250 0.250
0.500 0.500 0.500
0.750 0.750 0.750
```

## Properties
The symmetry is F-43m, No. 216. Its formation energy without anion corrections is 0.400 eV per atom.


One value per record, in order, for density: 15.38, 15.51, 10.14, 9.55, 14.79, 14.64, 12.74, 15.35, 15.59, 9.47, 14.62, 8.93, 12.59, 9.47, 14.52, 6.86, 14.52, 10.10, 12.72, 14.14 g/cm³.
One value per record, in order, for spin magnetization: 0.0, 0.0, 0.0, 0.0, 0.0, 0.0, 0.0, 0.0, 0.0, 0.0, 0.0, 0.0, 0.0, 0.0, 0.0, 1.2, 0.0, 0.0, 0.0, 0.0 μB per cell.